Record 1
The following is a DFT calculation (PBE) of a relaxed TaMn6 crystal.

```
data_TaMn6
_cell_length_a 7.696
_cell_length_b 4.592
_cell_length_c 9.604
_cell_angle_alpha 90.00
_cell_angle_beta 90.00
_cell_angle_gamma 90.00
_symmetry_space_group_name_H-M 'P n m a'
_symmetry_Int_Tables_number 62
loop_
_symmetry_equiv_pos_as_xyz
'x,y,z'
'-x,-y,-z'
'-x+1/2,-y,z+1/2'
'x+1/2,y,-z+1/2'
'x+1/2,-y+1/2,-z+1/2'
'-x+1/2,y+1/2,z+1/2'
'-x,y+1/2,-z'
'x,-y+1/2,z'
loop_
_atom_site_label
_atom_site_fract_x
_atom_site_fract_y
_atom_site_fract_z
_atom_site_occupancy
Ta1 0.243 0.250 0.060 1
Mn1 0.058 0.750 0.077 1
Mn2 0.074 0.013 0.307 1
Mn3 0.091 0.250 0.525 1
Mn4 0.136 0.750 0.851 1
Mn5 0.188 0.250 0.756 1
```

Results
Energy of formation from the pure elements in meV/atom: -21
Excess energy over the best structure of this formula in the dataset in meV per atom: 0
Magnetization in μB/atom: 0.28
D(E_F) in states/eV/f.u.: 9.1
Theoretical density in g/cm3: 9.99

Record 2
The following is a DFT calculation (PBE) of a relaxed TaMn2 crystal.

```
data_TaMn2
_cell_length_a 2.667
_cell_length_b 7.487
_cell_length_c 4.167
_cell_angle_alpha 90.00
_cell_angle_beta 90.00
_cell_angle_gamma 90.00
_symmetry_space_group_name_H-M 'P n n m'
_symmetry_Int_Tables_number 58
loop_
_symmetry_equiv_pos_as_xyz
'x,y,z'
'-x,-y,-z'
'-x,-y,z'
'x,y,-z'
'x+1/2,-y+1/2,-z+1/2'
'-x+1/2,y+1/2,z+1/2'
'-x+1/2,y+1/2,-z+1/2'
'x+1/2,-y+1/2,z+1/2'
loop_
_atom_site_label
_atom_site_fract_x
_atom_site_fract_y
_atom_site_fract_z
_atom_site_occupancy
Ta1 0.000 0.000 0.000 1
Mn1 0.193 0.333 0.000 1
```

Results
Energy of formation from the pure elements in meV/atom: 206
Magnetization in μB/atom: 0.97
D(E_F) in states/eV/f.u.: 3.9
Theoretical density in g/cm3: 11.61

Record 3
The following is a DFT calculation (PBE) of a relaxed Ta2Mn3 crystal.

```
data_Ta2Mn3
_cell_length_a 4.2540
_cell_length_b 4.2540
_cell_length_c 5.0737
_cell_angle_alpha 90.00
_cell_angle_beta 90.00
_cell_angle_gamma 120.00
_symmetry_space_group_name_H-M 'P -3 m 1'
_symmetry_Int_Tables_number 164
_symmetry_space_group_name_Hall '-P 3 2"'
loop_
_atom_site_label
_atom_site_fract_x
_atom_site_fract_y
_atom_site_fract_z
_atom_site_occupancy
Ta1 0.3333 0.6667 0.3079 1
Mn1 0.0000 0.0000 0.5000 1
Mn2 0.3333 0.6667 0.8135 1
```

Results
Energy of formation from the pure elements in meV/atom: 473
Excess energy over the best structure of this formula in the dataset in meV per atom: 448
Magnetization in μB/atom: 0.80
D(E_F) in states/eV/f.u.: 4.5
Theoretical density in g/cm3: 11.00

Record 4
The following is a DFT calculation (PBE) of a relaxed Ta3Mn crystal.

```
data_Ta3Mn
_cell_length_a 4.511
_cell_length_b 4.511
_cell_length_c 3.217
_cell_angle_alpha 90.00
_cell_angle_beta 90.00
_cell_angle_gamma 90.00
_symmetry_space_group_name_H-M 'P 4/m m m'
_symmetry_Int_Tables_number 123
_symmetry_space_group_name_Hall '-P 4 2'
loop_
_atom_site_label
_atom_site_fract_x
_atom_site_fract_y
_atom_site_fract_z
_atom_site_occupancy
Ta1 0.000 0.000 0.000 1
Ta2 0.000 0.500 0.500 1
Mn1 0.500 0.500 0.000 1
```

Results
Energy of formation from the pure elements in meV/atom: -2
Magnetization in μB/atom: 0.00
D(E_F) in states/eV/f.u.: 4.7
Theoretical density in g/cm3: 15.17

Record 5
The following is a DFT calculation (PBE) of a relaxed Ta3Mn crystal.

```
data_Ta3Mn
_cell_length_a 3.173
_cell_length_b 4.540
_cell_length_c 9.096
_cell_angle_alpha 90.00
_cell_angle_beta 90.00
_cell_angle_gamma 90.00
_symmetry_space_group_name_H-M 'I m m m'
_symmetry_Int_Tables_number 71
_symmetry_space_group_name_Hall '-I 2 2'
loop_
_atom_site_label
_atom_site_fract_x
_atom_site_fract_y
_atom_site_fract_z
_atom_site_occupancy
Ta1 0.000 0.000 0.000 1
Ta2 0.000 0.500 0.236 1
Mn1 0.000 0.000 0.500 1
```

Results
Energy of formation from the pure elements in meV/atom: -53
Magnetization in μB/atom: 0.00
D(E_F) in states/eV/f.u.: 3.2
Theoretical density in g/cm3: 15.15

Record 6
The following is a DFT calculation (PBE) of a relaxed TaMn2 crystal.

```
data_TaMn2
_cell_length_a 2.939
_cell_length_b 4.126
_cell_length_c 13.776
_cell_angle_alpha 90.00
_cell_angle_beta 90.00
_cell_angle_gamma 90.00
_symmetry_space_group_name_H-M 'I m m a'
_symmetry_Int_Tables_number 74
_symmetry_space_group_name_Hall '-I 2b 2'
loop_
_atom_site_label
_atom_site_fract_x
_atom_site_fract_y
_atom_site_fract_z
_atom_site_occupancy
Ta1 0.000 0.250 0.148 1
Mn1 0.000 0.250 0.531 1
Mn2 0.000 0.250 0.688 1
```

Results
Energy of formation from the pure elements in meV/atom: 227
Magnetization in μB/atom: 0.00
D(E_F) in states/eV/f.u.: 3.9
Theoretical density in g/cm3: 11.56

Record 7
The following is a DFT calculation (PBE) of a relaxed TaMn6 crystal.

```
data_TaMn6
_cell_length_a 5.935
_cell_length_b 5.935
_cell_length_c 5.935
_cell_angle_alpha 90.00
_cell_angle_beta 90.00
_cell_angle_gamma 90.00
_symmetry_space_group_name_H-M 'I m -3 m'
_symmetry_Int_Tables_number 229
_symmetry_space_group_name_Hall '-I 4 2 3'
loop_
_atom_site_label
_atom_site_fract_x
_atom_site_fract_y
_atom_site_fract_z
_atom_site_occupancy
Ta1 0.000 0.000 0.000 1
Mn1 0.000 0.250 0.500 1
```

Results
Energy of formation from the pure elements in meV/atom: 1187
Excess energy over the best structure of this formula in the dataset in meV per atom: 1208
Magnetization in μB/atom: 0.00
D(E_F) in states/eV/f.u.: 12.2
Theoretical density in g/cm3: 8.11

Record 8
The following is a DFT calculation (PBE) of a relaxed Ta3Mn crystal.

```
data_Ta3Mn
_cell_length_a 4.618
_cell_length_b 4.618
_cell_length_c 4.618
_cell_angle_alpha 90.00
_cell_angle_beta 90.00
_cell_angle_gamma 90.00
_symmetry_space_group_name_H-M 'P m -3 m'
_symmetry_Int_Tables_number 221
_symmetry_space_group_name_Hall '-P 4 2 3'
loop_
_atom_site_label
_atom_site_fract_x
_atom_site_fract_y
_atom_site_fract_z
_atom_site_occupancy
Ta1 0.000 0.000 0.500 1
Mn1 0.000 0.000 0.000 1
```

Results
Energy of formation from the pure elements in meV/atom: 1584
Magnetization in μB/atom: 0.00
D(E_F) in states/eV/f.u.: 6.2
Theoretical density in g/cm3: 10.08

Record 9
The following is a DFT calculation (PBE) of a relaxed Ta5Mn crystal.

```
data_Ta5Mn
_cell_length_a 10.333
_cell_length_b 3.199
_cell_length_c 6.514
_cell_angle_alpha 90.00
_cell_angle_beta 108.48
_cell_angle_gamma 90.00
_symmetry_space_group_name_H-M 'C 1 2/m 1'
_symmetry_Int_Tables_number 12
loop_
_symmetry_equiv_pos_as_xyz
'x,y,z'
'-x,-y,-z'
'-x,y,-z'
'x,-y,z'
'x+1/2,y+1/2,z'
'-x+1/2,-y+1/2,-z'
'-x+1/2,y+1/2,-z'
'x+1/2,-y+1/2,z'
loop_
_atom_site_label
_atom_site_fract_x
_atom_site_fract_y
_atom_site_fract_z
_atom_site_occupancy
Ta1 0.000 0.000 0.000 1
Ta2 0.158 0.500 0.341 1
Ta3 0.162 0.500 0.820 1
Mn1 0.000 0.000 0.500 1
```

Results
Energy of formation from the pure elements in meV/atom: -31
Excess energy over the best structure of this formula in the dataset in meV per atom: 17
Magnetization in μB/atom: 0.00
D(E_F) in states/eV/f.u.: 6.6
Theoretical density in g/cm3: 15.61

Record 10
The following is a DFT calculation (PBE) of a relaxed TaMn2 crystal.

```
data_TaMn2
_cell_length_a 2.7214
_cell_length_b 2.7214
_cell_length_c 6.3868
_cell_angle_alpha 90.00
_cell_angle_beta 90.00
_cell_angle_gamma 120.00
_symmetry_space_group_name_H-M 'P -3 m 1'
_symmetry_Int_Tables_number 164
_symmetry_space_group_name_Hall '-P 3 2"'
loop_
_atom_site_label
_atom_site_fract_x
_atom_site_fract_y
_atom_site_fract_z
_atom_site_occupancy
Ta1 0.0000 0.0000 0.0000 1
Mn1 0.3333 0.6667 0.6363 1
```

Results
Energy of formation from the pure elements in meV/atom: 351
Magnetization in μB/atom: 0.00
D(E_F) in states/eV/f.u.: 4.7
Theoretical density in g/cm3: 11.79

Record 11
The following is a DFT calculation (PBE) of a relaxed Ta5Mn crystal.

```
data_Ta5Mn
_cell_length_a 3.228
_cell_length_b 13.536
_cell_length_c 4.673
_cell_angle_alpha 90.00
_cell_angle_beta 90.00
_cell_angle_gamma 90.00
_symmetry_space_group_name_H-M 'C m m m'
_symmetry_Int_Tables_number 65
_symmetry_space_group_name_Hall '-C 2 2'
loop_
_atom_site_label
_atom_site_fract_x
_atom_site_fract_y
_atom_site_fract_z
_atom_site_occupancy
Ta1 0.000 0.000 0.000 1
Ta2 0.000 0.157 0.500 1
Ta3 0.000 0.334 0.000 1
Mn1 0.000 0.500 0.500 1
```

Results
Energy of formation from the pure elements in meV/atom: -20
Excess energy over the best structure of this formula in the dataset in meV per atom: 29
Magnetization in μB/atom: 0.00
D(E_F) in states/eV/f.u.: 6.4
Theoretical density in g/cm3: 15.61

Record 12
The following is a DFT calculation (PBE) of a relaxed Ta3Mn crystal.

```
data_Ta3Mn
_cell_length_a 8.8840
_cell_length_b 8.8840
_cell_length_c 2.8971
_cell_angle_alpha 90.00
_cell_angle_beta 90.00
_cell_angle_gamma 120.00
_symmetry_space_group_name_H-M 'R -3 m'
_symmetry_Int_Tables_number 166
_symmetry_space_group_name_Hall '-R 3 2"'
loop_
_atom_site_label
_atom_site_fract_x
_atom_site_fract_y
_atom_site_fract_z
_atom_site_occupancy
Ta1 0.0000 0.5000 0.0000 1
Mn1 0.0000 0.0000 0.0000 1
```

Results
Energy of formation from the pure elements in meV/atom: 69
Magnetization in μB/atom: 0.01
D(E_F) in states/eV/f.u.: 4.9
Theoretical density in g/cm3: 15.04